{
  "formula": "NiIO",
  "functional": "PBE with a Hubbard U",
  "state": "optimized geometry",
  "cell": [[3.2301, 0.0000, 0.0000], [0.0000, 6.4958, 0.0000], [0.0000, 0.0000, 19.6586]],
  "species": ["Ni", "Ni", "Ni", "Ni", "Ni", "Ni", "O", "O", "O", "O", "O", "O", "I", "I", "I", "I", "I", "I"],
  "frac_coords": [[0.0000, 0.4893, 0.9962], [0.0000, 0.2747, 0.3573], [0.0000, 0.7327, 0.6254], [0.5000, 0.2673, 0.1254], [0.5000, 0.5107, 0.4962], [0.5000, 0.7253, 0.8573], [0.5000, 0.1067, 0.3503], [0.5000, 0.5282, 0.9259], [0.0000, 0.8933, 0.8503], [0.0000, 0.4718, 0.4259], [0.0000, 0.5435, 0.5534], [0.5000, 0.4565, 0.0534], [0.5000, 0.0460, 0.5917], [0.0000, 0.9540, 0.0917], [0.0000, 0.4564, 0.2198], [0.0000, 0.1945, 0.8802], [0.5000, 0.8055, 0.3802], [0.5000, 0.5436, 0.7198]],
  "energy_ev_per_atom": -3.26,
  "dos_ef_per_ev_atom": 0.173,
  "total_magnetization_mub_per_cell": 10.84
}